No. 1
Density functional theory data (PBE) for HfThTc2 after structural relaxation.

Results
The formation enthalpy at 0 K comes out at -200 meV per atom. The calculation puts the calculated density at 12.78 g/cm³. The calculation puts the magnetization at 0.0000 μB/atom. The energy above the lowest structure with this stoichiometry comes out at 18 kJ/mol of formula units. The calculation puts the density of states at the Fermi level at 0.80 states/eV/atom.

a b c (Å): 3.409 3.409 6.781
angles (deg): 90.00 90.00 90.00
Space group P4/mmm (No. 123)
Asymmetric unit:
Hf: 0.000 0.000 0.000
Th: 0.000 0.000 0.500
Tc: 0.500 0.500 0.239

---

No. 2
Density functional theory data (PBE) for Hf2ThTc after structural relaxation.

Results
The formation enthalpy at 0 K comes out at 176 meV per atom. The calculation puts the calculated density at 11.77 g/cm³. The calculation puts the magnetization at 0.0000 μB/atom. The energy above the lowest structure with this stoichiometry comes out at 155 kJ/mol of formula units. The calculation puts the density of states at the Fermi level at 1.29 states/eV/atom.

a b c (Å): 4.5541 4.5541 16.1948
angles (deg): 90.00 90.00 120.00
Space group R-3m (No. 166, hexagonal axes)
Asymmetric unit:
Hf: 0.0000 0.0000 0.2149
Th: 0.0000 0.0000 0.0000
Tc: 0.0000 0.0000 0.5000

---

No. 3
Density functional theory data (PBE) for HfThTc2 after structural relaxation.

Results
The formation enthalpy at 0 K comes out at -245 meV per atom. The calculation puts the calculated density at 12.73 g/cm³. The calculation puts the magnetization at 0.0000 μB/atom. The energy above the lowest structure with this stoichiometry comes out at 0 kJ/mol of formula units. The calculation puts the density of states at the Fermi level at 0.58 states/eV/atom.

a b c (Å): 6.814 6.814 6.814
angles (deg): 90.00 90.00 90.00
Space group Fm-3m (No. 225)
Asymmetric unit:
Hf: 0.000 0.000 0.000
Th: 0.000 0.000 0.500
Tc: 0.250 0.250 0.250

---

No. 4
Density functional theory data (PBE) for Hf2ThTc9 after structural relaxation.

Results
The formation enthalpy at 0 K comes out at -153 meV per atom. The calculation puts the calculated density at 11.65 g/cm³. The calculation puts the magnetization at 0.0000 μB/atom. The calculation puts the density of states at the Fermi level at 1.29 states/eV/atom.

a b c (Å): 5.2624 5.2624 26.2379
angles (deg): 90.00 90.00 120.00
Space group R-3m (No. 166, hexagonal axes)
Asymmetric unit:
Hf: 0.0000 0.0000 0.1429
Th: 0.0000 0.0000 0.0000
Tc: 0.0000 0.0000 0.3368
Tc: 0.0000 0.0000 0.5000
Tc: 0.0106 0.5053 0.9134

---

No. 5
Density functional theory data (PBE) for HfTh2Tc after structural relaxation.

Results
The formation enthalpy at 0 K comes out at 493 meV per atom. The calculation puts the calculated density at 12.11 g/cm³. The calculation puts the magnetization at 0.0000 μB/atom. The calculation puts the density of states at the Fermi level at 1.63 states/eV/atom.

a b c (Å): 3.3210 3.3210 31.9022
angles (deg): 90.00 90.00 120.00
Space group R-3m (No. 166, hexagonal axes)
Asymmetric unit:
Hf: 0.0000 0.0000 0.0000
Th: 0.0000 0.0000 0.0964
Tc: 0.0000 0.0000 0.5000

---

No. 6
Density functional theory data (PBE) for HfThTc after structural relaxation.

Results
The formation enthalpy at 0 K comes out at -178 meV per atom. The calculation puts the calculated density at 12.29 g/cm³. The calculation puts the magnetization at 0.0000 μB/atom. The energy above the lowest structure with this stoichiometry comes out at 0 kJ/mol of formula units. The calculation puts the density of states at the Fermi level at 1.16 states/eV/atom.

a b c (Å): 4.233 12.974 7.506
angles (deg): 90.00 90.00 90.00
Space group Amm2 (No. 38)
Asymmetric unit:
Hf: 0.000 0.000 0.000
Hf: 0.000 0.120 0.360
Th: 0.500 0.000 0.670
Th: 0.500 0.215 0.025
Tc: 0.000 0.166 0.740
Tc: 0.500 0.000 0.240